A plane-wave DFT calculation with PBE was carried out for an optimized crystal structure of Ga2CoBTe.

Unit cell a=5.4448 b=5.4448 c=4.5907 alpha=90.00 beta=90.00 gamma=90.00
Last column: nearest neighbours and their distance in Å.
Fractional positions:
Ga  0.0000  0.5000  0.0000  2 Te 2.72
Ga  0.5000  0.0000  0.0000  2 Te 2.72
Co  0.0000  0.0000  0.5000  2 Te 2.30
B  0.5000  0.5000  0.5000  8 Ga 3.56, 4 Co 3.85
Te  0.0000  0.0000  0.0000  2 Co 2.30

Results
Formation energy without anion corrections, eV per atom: 1.70
V, A^3/atom: 27.22
M_tot, μB/f.u.: 0.00

***

A plane-wave DFT calculation with PBE was carried out for an optimized crystal structure of PaZnCuO5.

Unit cell a=5.7063 b=5.7063 c=7.3958 alpha=103.48 beta=103.48 gamma=112.79
Last column: nearest neighbours and their distance in Å.
Fractional positions:
Pa  0.0543  0.9457  0.7500  3 O 2.07-2.24
Pa  0.9457  0.0543  0.2500  3 O 2.07-2.24
Zn  0.0000  0.5000  0.0000  6 O 2.02-2.25
Zn  0.5000  0.0000  0.5000  6 O 2.02-2.25
Cu  0.3983  0.6017  0.7500  4 O 1.84-1.94
Cu  0.6017  0.3983  0.2500  4 O 1.84-1.94
O  0.1635  0.8365  0.2500  2 Zn 2.03, 1 Pa 2.07
O  0.2264  0.2724  0.0852  1 Cu 1.94
O  0.2322  0.7271  0.5791  1 Cu 1.84, 1 Zn 2.02
O  0.2724  0.2264  0.5852  1 Cu 1.94
O  0.2729  0.7678  0.9209  1 Cu 1.84, 1 Zn 2.02
O  0.7271  0.2322  0.0791  1 Cu 1.84, 1 Zn 2.02
O  0.7276  0.7736  0.4148  1 Cu 1.94
O  0.7678  0.2729  0.4209  1 Cu 1.84, 1 Zn 2.02
O  0.7736  0.7276  0.9148  1 Cu 1.94
O  0.8365  0.1635  0.7500  2 Zn 2.03, 1 Pa 2.07

Results
Formation energy without anion corrections, eV per atom: -1.79
V, A^3/atom: 12.59
M_tot, μB/f.u.: 0.06

***

A plane-wave DFT calculation with PBE was carried out for an optimized crystal structure of KP3Pt6.

Unit cell a=6.3527 b=6.3527 c=6.3527 alpha=60.14 beta=60.14 gamma=60.14
Last column: nearest neighbours and their distance in Å.
Fractional positions:
K  0.0000  0.0000  0.0000  12 Pt 3.04-3.37, 1 P 3.06
P  0.2866  0.2866  0.2866  6 Pt 2.30-2.45
P  0.5617  0.5617  0.5617  6 Pt 2.35-2.50
P  0.8033  0.8033  0.8033  6 Pt 2.46-2.47
Pt  0.1968  0.4539  0.8883  3 P 2.35-2.47
Pt  0.4539  0.8883  0.1968  3 P 2.35-2.47
Pt  0.5121  0.5644  0.9764  3 P 2.30-2.50
Pt  0.5644  0.9764  0.5121  3 P 2.30-2.50
Pt  0.8883  0.1968  0.4539  3 P 2.35-2.47
Pt  0.9764  0.5121  0.5644  3 P 2.30-2.50

Results
Calculated formation energy, kJ/mol of atoms: -32.2
V, A^3/atom: 18.19
M_tot, μB/f.u.: 0.00

***

A plane-wave DFT calculation with PBE was carried out for an optimized crystal structure of PmDy2PuO8.

Unit cell a=5.1209 b=5.1209 c=7.0633 alpha=90.00 beta=90.00 gamma=90.36
Last column: nearest neighbours and their distance in Å.
Fractional positions:
Pm  0.0000  0.0000  0.0000  6 O 2.27-2.42
Dy  0.5000  0.5000  0.2421  6 O 2.17-2.43
Dy  0.5000  0.5000  0.7579  6 O 2.17-2.43
Pu  0.0000  0.0000  0.5000  6 O 2.00-2.04
O  0.1857  0.8143  0.2836  1 Pu 2.04
O  0.1857  0.8143  0.7164  1 Pu 2.04
O  0.2776  0.2776  0.5000  1 Pu 2.00
O  0.3143  0.3143  0.0000  2 Dy 2.17, 1 Pm 2.27
O  0.6857  0.6857  0.0000  2 Dy 2.17, 1 Pm 2.27
O  0.7224  0.7224  0.5000  1 Pu 2.00
O  0.8143  0.1857  0.2836  1 Pu 2.04
O  0.8143  0.1857  0.7164  1 Pu 2.04

Results
Formation energy without anion corrections, eV per atom: -3.06
V, A^3/atom: 15.43
M_tot, μB/f.u.: 1.01

***

A plane-wave DFT calculation with PBE was carried out for an optimized crystal structure of VCrAsRu.

Unit cell a=4.1998 b=4.1998 c=4.1998 alpha=60.00 beta=60.00 gamma=60.00
Last column: nearest neighbours and their distance in Å.
Fractional positions:
V  0.0000  0.0000  0.0000  4 Ru 2.57, 4 Cr 2.57
Cr  0.2500  0.2500  0.2500  4 As 2.57, 4 V 2.57
As  0.5000  0.5000  0.5000  4 Cr 2.57, 4 Ru 2.57
Ru  0.7500  0.7500  0.7500  4 As 2.57, 4 V 2.57

Results
Calculated formation energy, kJ/mol of atoms: -11.8
V, A^3/atom: 13.09
M_tot, μB/f.u.: 0.00

***

What did the third record say?
A plane-wave DFT calculation with PBE was carried out for an optimized crystal structure of KP3Pt6.

Unit cell a=6.3527 b=6.3527 c=6.3527 alpha=60.14 beta=60.14 gamma=60.14
Last column: nearest neighbours and their distance in Å.
Fractional positions:
K  0.0000  0.0000  0.0000  12 Pt 3.04-3.37, 1 P 3.06
P  0.2866  0.2866  0.2866  6 Pt 2.30-2.45
P  0.5617  0.5617  0.5617  6 Pt 2.35-2.50
P  0.8033  0.8033  0.8033  6 Pt 2.46-2.47
Pt  0.1968  0.4539  0.8883  3 P 2.35-2.47
Pt  0.4539  0.8883  0.1968  3 P 2.35-2.47
Pt  0.5121  0.5644  0.9764  3 P 2.30-2.50
Pt  0.5644  0.9764  0.5121  3 P 2.30-2.50
Pt  0.8883  0.1968  0.4539  3 P 2.35-2.47
Pt  0.9764  0.5121  0.5644  3 P 2.30-2.50

Results
Calculated formation energy, kJ/mol of atoms: -32.2
V, A^3/atom: 18.19
M_tot, μB/f.u.: 0.00

***

- Which value of V does entry 4 give?
  15.43 A^3/atom